This record from Alexandria via LeMat-Bulk describes a relaxed Hf3GeP crystal. The functional is PBE-GGA.

a = 3.7152 Å, b = 5.8815 Å, c = 9.3497 Å
α = 90.00°, β = 90.00°, γ = 108.42°
Last column: nearest neighbours and their distance in Å.
Fractional positions:
Hf 0.8562 0.7128 0.5657  2 P 2.53, 2 Ge 2.82
Hf 0.1437 0.2872 0.4343  2 P 2.53, 2 Ge 2.82
Hf 0.1437 0.2872 0.0657  2 P 2.53, 2 Ge 2.82
Hf 0.8562 0.7128 0.9343  2 P 2.53, 2 Ge 2.82
Hf 0.4345 0.8688 0.2500  2 P 2.45, 2 Ge 2.73
Hf 0.5655 0.1312 0.7500  2 P 2.45, 2 Ge 2.73
Ge 0.7544 0.5092 0.2500  6 Hf 2.73-2.82
Ge 0.2456 0.4908 0.7500  6 Hf 2.73-2.82
P 0.5000 0.0000 0.0000  6 Hf 2.45-2.53
P 0.5000 0.0000 0.5000  6 Hf 2.45-2.53

Summary:
- distance to the lowest polymorph of the same formula (eV/atom) = 0.000
- mass density (Mg/m³) = 10.950
- E_tot (eV/atom) = -8.809
- formation energy (eV per atom) = -0.83
- Fermi-level density of states (states/eV/cell) = 6.40

---

This record from Alexandria via LeMat-Bulk describes a relaxed Hf3GeP2 crystal. The functional is PBE-GGA.

a = 3.7365 Å, b = 5.3031 Å, c = 6.4954 Å
α = 114.09°, β = 106.72°, γ = 90.00°
Last column: nearest neighbours and their distance in Å.
Fractional positions:
Hf 0.8245 0.3245 0.1489  4 P 2.60-2.65, 2 Ge 2.72
Hf 0.1755 0.6755 0.8511  4 P 2.60-2.65, 2 Ge 2.72
Hf 0.5000 0.0000 0.5000  4 P 2.63, 2 Ge 2.65
Ge 0.5000 0.5000 0.5000  6 Hf 2.65-2.72
P 0.8360 0.8360 0.1720  6 Hf 2.60-2.65
P 0.1640 0.1640 0.8280  6 Hf 2.60-2.65

Summary:
- mass density (Mg/m³) = 9.978
- E_tot (eV/atom) = -8.581
- formation energy (eV per atom) = -1.03
- Fermi-level density of states (states/eV/cell) = 1.77

---

This record from Alexandria via LeMat-Bulk describes a relaxed HfGeP2 crystal. The functional is PBE-GGA.

a = 3.6466 Å, b = 3.6466 Å, c = 7.1387 Å
α = 75.20°, β = 75.20°, γ = 60.00°
Last column: nearest neighbours and their distance in Å.
Fractional positions:
Hf 0.6681 0.6681 0.9956  6 P 2.56-2.73
Ge 0.5097 0.5097 0.4708  3 P 2.59
P 0.0722 0.0722 0.7834  3 Hf 2.56
P 0.2499 0.2499 0.2503  3 Ge 2.59, 3 Hf 2.73

Summary:
- distance to the lowest polymorph of the same formula (eV/atom) = 0.000
- mass density (Mg/m³) = 6.618
- E_tot (eV/atom) = -6.764
- formation energy (eV per atom) = -0.42
- Fermi-level density of states (states/eV/cell) = 0.98

---

This record from Alexandria via LeMat-Bulk describes a relaxed Hf3Ge2P crystal. The functional is PBE-GGA.

a = 3.7876 Å, b = 5.3620 Å, c = 6.5864 Å
α = 114.02°, β = 106.71°, γ = 90.00°
Last column: nearest neighbours and their distance in Å.
Fractional positions:
Hf 0.8413 0.3413 0.1826  2 P 2.62, 4 Ge 2.68-2.73
Hf 0.1587 0.6587 0.8174  2 P 2.62, 4 Ge 2.68-2.73
Hf 0.5000 0.0000 0.5000  2 P 2.68, 4 Ge 2.70
Ge 0.8309 0.8309 0.1618  6 Hf 2.68-2.73
Ge 0.1691 0.1691 0.8382  6 Hf 2.68-2.73
P 0.5000 0.5000 0.5000  6 Hf 2.62-2.68

Summary:
- mass density (Mg/m³) = 10.191
- E_tot (eV/atom) = -8.235
- formation energy (eV per atom) = -0.82
- Fermi-level density of states (states/eV/cell) = 2.47

---

This record from Alexandria via LeMat-Bulk describes a relaxed Hf12Ge3P5 crystal. The functional is PBE-GGA.

a = 13.2166 Å, b = 13.2166 Å, c = 13.2166 Å
α = 109.47°, β = 109.47°, γ = 109.47°
Last column: nearest neighbours and their distance in Å.
Fractional positions:
Ge 0.7500 0.3750 0.1250  8 Hf 2.79-2.93
Ge 0.8750 0.7500 0.1250  8 Hf 2.79-2.93
Ge 0.3750 0.7500 0.6250  8 Hf 2.79-2.93
Ge 0.2500 0.1250 0.3750  8 Hf 2.79-2.93
Ge 0.8750 0.1250 0.2500  8 Hf 2.79-2.93
Ge 0.3750 0.6250 0.2500  8 Hf 2.79-2.93
Ge 0.6250 0.3750 0.7500  8 Hf 2.79-2.93
Ge 0.1250 0.8750 0.7500  8 Hf 2.79-2.93
Ge 0.7500 0.8750 0.6250  8 Hf 2.79-2.93
Ge 0.6250 0.2500 0.3750  8 Hf 2.79-2.93
Ge 0.1250 0.2500 0.8750  8 Hf 2.79-2.93
Ge 0.2500 0.6250 0.8750  8 Hf 2.79-2.93
P 0.1250 0.3750 0.2500  4 Hf 2.46
P 0.0000 0.5000 0.0000  6 Hf 2.52
P 0.0000 0.0000 0.0000  6 Hf 2.52
P 0.3750 0.2500 0.1250  4 Hf 2.46
P 0.5000 0.0000 0.5000  6 Hf 2.52
P 0.5000 0.5000 0.0000  6 Hf 2.52
P 0.1250 0.7500 0.3750  4 Hf 2.46
P 0.7500 0.1250 0.8750  4 Hf 2.46
P 0.7500 0.6250 0.3750  4 Hf 2.46
P 0.3750 0.1250 0.7500  4 Hf 2.46
P 0.6250 0.8750 0.2500  4 Hf 2.46
P 0.5000 0.5000 0.5000  6 Hf 2.52
P 0.5000 0.0000 0.0000  6 Hf 2.52
P 0.0000 0.0000 0.5000  6 Hf 2.52
P 0.2500 0.3750 0.6250  4 Hf 2.46
P 0.2500 0.8750 0.1250  4 Hf 2.46
P 0.0000 0.5000 0.5000  6 Hf 2.52
P 0.8750 0.2500 0.6250  4 Hf 2.46
P 0.6250 0.7500 0.8750  4 Hf 2.46
P 0.8750 0.6250 0.7500  4 Hf 2.46
Hf 0.7175 0.1263 0.0481  2 P 2.46-2.52
Hf 0.3305 0.5481 0.4218  2 P 2.46-2.52
Hf 0.9519 0.3737 0.2825  2 P 2.46-2.52
Hf 0.5481 0.2175 0.1263  2 P 2.46-2.52
Hf 0.5912 0.7175 0.6695  2 P 2.46-2.52
Hf 0.9519 0.5782 0.1695  2 P 2.46-2.52
Hf 0.3305 0.7825 0.4088  2 P 2.46-2.52
Hf 0.0782 0.9088 0.1263  2 P 2.46-2.52
Hf 0.5782 0.9519 0.6695  2 P 2.46-2.52
Hf 0.7175 0.5912 0.1695  2 P 2.46-2.52
Hf 0.7825 0.4519 0.3737  2 P 2.46-2.52
Hf 0.8305 0.9218 0.0481  2 P 2.46-2.52
Hf 0.1263 0.7175 0.5481  2 P 2.46-2.52
Hf 0.3737 0.4218 0.0912  2 P 2.46-2.52
Hf 0.0912 0.9218 0.3737  2 P 2.46-2.52
Hf 0.4088 0.1263 0.5782  2 P 2.46-2.52
Hf 0.0912 0.1695 0.2175  2 P 2.46-2.52
Hf 0.4519 0.6695 0.0782  2 P 2.46-2.52
Hf 0.8305 0.9088 0.2825  2 P 2.46-2.52
Hf 0.1263 0.4088 0.0782  2 P 2.46-2.52
Hf 0.3737 0.9519 0.7825  2 P 2.46-2.52
Hf 0.5782 0.6263 0.4088  2 P 2.46-2.52
Hf 0.9218 0.8305 0.5481  2 P 2.46-2.52
Hf 0.7825 0.3305 0.9088  2 P 2.46-2.52
Hf 0.4218 0.3737 0.5912  2 P 2.46-2.52
Hf 0.0782 0.1695 0.4519  2 P 2.46-2.52
Hf 0.2175 0.6695 0.0912  2 P 2.46-2.52
Hf 0.1695 0.0912 0.7175  2 P 2.46-2.52
Hf 0.6263 0.0481 0.2175  2 P 2.46-2.52
Hf 0.8737 0.5912 0.9218  2 P 2.46-2.52
Hf 0.5481 0.3305 0.9218  2 P 2.46-2.52
Hf 0.5912 0.8737 0.4218  2 P 2.46-2.52
Hf 0.9088 0.8305 0.7825  2 P 2.46-2.52
Hf 0.9088 0.0782 0.6263  2 P 2.46-2.52
Hf 0.8737 0.2825 0.4519  2 P 2.46-2.52
Hf 0.1695 0.0782 0.9519  2 P 2.46-2.52
Hf 0.6263 0.5782 0.9088  2 P 2.46-2.52
Hf 0.4218 0.0481 0.3305  2 P 2.46-2.52
Hf 0.2825 0.4088 0.8305  2 P 2.46-2.52
Hf 0.2175 0.5481 0.6263  2 P 2.46-2.52
Hf 0.9218 0.0912 0.8737  2 P 2.46-2.52
Hf 0.6695 0.2175 0.5912  2 P 2.46-2.52
Hf 0.4519 0.7825 0.8737  2 P 2.46-2.52
Hf 0.0481 0.4218 0.8305  2 P 2.46-2.52
Hf 0.4088 0.2825 0.3305  2 P 2.46-2.52
Hf 0.0481 0.6263 0.7175  2 P 2.46-2.52
Hf 0.6695 0.4519 0.5782  2 P 2.46-2.52
Hf 0.2825 0.8737 0.9519  2 P 2.46-2.52

Summary:
- mass density (Mg/m³) = 9.398
- E_tot (eV/atom) = -8.342
- formation energy (eV per atom) = -0.32
- Fermi-level density of states (states/eV/cell) = 67.92

---

This record from Alexandria via LeMat-Bulk describes a relaxed Hf2GePRh crystal. The functional is PBE-GGA.

a = 4.9717 Å, b = 4.4118 Å, c = 4.9717 Å
α = 90.00°, β = 90.00°, γ = 90.00°
Last column: nearest neighbours and their distance in Å.
Fractional positions:
Rh 0.0000 0.5000 0.0000  2 Ge 2.21
Ge 0.0000 0.0000 0.0000  2 Rh 2.21
Hf 0.0000 0.0000 0.5000  2 Ge 2.49
Hf 0.5000 0.0000 0.0000  2 Ge 2.49
P 0.5000 0.5000 0.5000  8 Hf 3.32, 4 Rh 3.52

Summary:
- mass density (Mg/m³) = 8.581
- E_tot (eV/atom) = -6.966
- formation energy (eV per atom) = 0.49
- Fermi-level density of states (states/eV/cell) = 4.28